PBE Sr2TaPt, optimized geometry; energy of formation from the pure elements = 0.3 eV per formula unit; total moment = 0.00 Bohr magnetons per cell; excess energy over the best structure of this formula in the dataset = 2.17 kcal/mol of atoms; V = 125 Å³/cell
1.0
4.049 0.000 0.000
0.000 2.597 5.966
0.000 -2.597 5.966
Sr Ta Pt
2 1 1
direct
0.000 0.000 0.000 Sr
0.500 0.288 0.288 Sr
0.000 0.689 0.689 Ta
0.500 0.570 0.570 Pt